Material: LiVBO4
Method: DFT, SCAN
State: PBEsol geometry

a b c (Å): 4.373 5.727 9.967
angles (deg): 90.00 90.00 90.00
Fractional positions:
1 Li 0.523 0.750 0.724
2 O 0.771 0.041 0.144
3 Li 0.977 0.750 0.224
4 B 0.092 0.750 0.914
5 O 0.729 0.459 0.644
6 V 0.000 0.000 0.500
7 Li 0.023 0.250 0.776
8 O 0.729 0.041 0.644
9 O 0.271 0.959 0.356
10 O 0.740 0.750 0.421
11 V 0.000 0.500 0.500
12 O 0.760 0.750 0.921
13 O 0.229 0.541 0.856
14 B 0.908 0.250 0.086
15 O 0.761 0.250 0.940
16 O 0.260 0.250 0.579
17 O 0.271 0.541 0.356
18 O 0.771 0.459 0.144
19 Li 0.477 0.250 0.276
20 O 0.239 0.750 0.060
21 O 0.240 0.250 0.079
22 V 0.500 0.000 0.000
23 B 0.408 0.750 0.414
24 V 0.500 0.500 0.000
25 O 0.229 0.959 0.856
26 O 0.261 0.750 0.560
27 O 0.739 0.250 0.440
28 B 0.592 0.250 0.586

- Total magnetic moment: 0.14 μB per atom
- Final energy: -9.969 eV/atom
- E_form (uncorrected): -2.507 eV/atom
- Calculated density: 3.531 Mg/m³
- ΔE to the lowest computed polymorph: 38.8 meV per atom
- SG: Pnma, No. 62


Material: LaAsSe2
Method: DFT, SCAN
State: PBEsol geometry

a b c (Å): 4.142 4.142 5.990
angles (deg): 110.22 110.22 90.00
Fractional positions:
1 Se 0.000 0.000 0.000
2 Se 0.750 0.250 0.500
3 La 0.250 0.750 0.500
4 As 0.500 0.500 0.000

- Total magnetic moment: 0.00 μB per atom
- Final energy: -26.926 eV/atom
- E_form (uncorrected): -1.063 eV/atom
- Calculated density: 6.887 Mg/m³
- SG: I-4m2, No. 119


Material: Ta2CrRh
Method: DFT, SCAN
State: PBEsol geometry

a b c (Å): 3.225 4.506 4.980
angles (deg): 116.90 108.89 90.00
Fractional positions:
1 Ta 0.756 0.756 0.513
2 Cr 0.500 0.000 0.000
3 Rh 0.000 0.500 0.000
4 Ta 0.244 0.244 0.487

- Total magnetic moment: 0.40 μB per atom
- Final energy: -46.465 eV/atom
- Calculated density: 14.273 Mg/m³
- Energy of formation: -0.135 eV per atom
- SG: Immm, No. 71


Material: RbIrN2
Method: DFT, SCAN
State: PBEsol geometry

a b c (Å): 3.339 3.339 6.839
angles (deg): 75.87 75.87 60.00
Fractional positions:
1 Rb 0.000 0.000 0.000
2 N 0.131 0.131 0.608
3 Ir 0.500 0.500 0.500
4 N 0.869 0.869 0.392

- Total magnetic moment: 0.00 μB per atom
- Final energy: -26.891 eV/atom
- E_form (uncorrected): 0.715 eV/atom
- Calculated density: 8.014 Mg/m³
- ΔE to the lowest computed polymorph: 459.2 meV per atom
- SG: R-3m, No. 166


Material: YZrH2O
Method: DFT, SCAN
State: PBEsol geometry

a b c (Å): 3.502 3.502 6.549
angles (deg): 90.00 90.00 90.00
Fractional positions:
1 Y 0.000 0.000 0.500
2 H 0.500 0.000 0.000
3 H 0.000 0.500 0.000
4 Zr 0.000 0.000 0.000
5 O 0.500 0.500 0.500

- Total magnetic moment: 0.00 μB per atom
- Final energy: -14.994 eV/atom
- Calculated density: 4.098 Mg/m³
- SG: P4/mmm, No. 123


Material: FeCo5O12
Method: DFT, SCAN
State: PBEsol geometry

a b c (Å): 4.822 4.828 9.148
angles (deg): 89.99 89.99 60.04
Fractional positions:
1 Co 0.333 0.333 0.000
2 O 0.668 0.000 0.899
3 O 0.668 0.332 0.101
4 O 0.500 0.333 0.601
5 O 0.833 0.667 0.601
6 Co 0.833 0.333 0.500
7 Co 0.667 0.667 0.000
8 O 0.332 0.000 0.101
9 Co 0.500 0.000 0.500
10 O 0.167 0.333 0.399
11 O 0.167 0.000 0.601
12 O 0.332 0.668 0.899
13 Co 0.167 0.667 0.500
14 O 0.000 0.668 0.101
15 O 0.000 0.332 0.899
16 O 0.500 0.667 0.399
17 O 0.833 0.000 0.399
18 Fe 0.000 0.000 0.000

- Total magnetic moment: 0.28 μB per atom
- Final energy: -11.092 eV/atom
- E_form (uncorrected): -1.124 eV/atom
- Calculated density: 4.882 Mg/m³
- SG: C2/m, No. 12


Material: La2YPb
Method: DFT, SCAN
State: PBEsol geometry

a b c (Å): 4.794 4.794 6.224
angles (deg): 112.65 112.65 90.00
Fractional positions:
1 La 0.750 0.250 0.500
2 La 0.250 0.750 0.500
3 Y 0.500 0.500 0.000
4 Pb 0.000 0.000 0.000

- Total magnetic moment: 0.00 μB per atom
- Final energy: -47.915 eV/atom
- Calculated density: 7.943 Mg/m³
- Energy of formation: -0.456 eV per atom
- SG: I4/mmm, No. 139


Material: BaSbW2
Method: DFT, SCAN
State: PBEsol geometry

a b c (Å): 3.281 5.534 6.196
angles (deg): 116.52 105.35 90.00
Fractional positions:
1 W 0.029 0.029 0.057
2 Ba 0.491 0.491 0.982
3 W 0.698 0.198 0.396
4 Sb 0.282 0.782 0.564

- Total magnetic moment: 0.00 μB per atom
- Final energy: -53.042 eV/atom
- E_form (uncorrected): 1.004 eV/atom
- Calculated density: 10.825 Mg/m³
- SG: Imm2, No. 44


Material: InP2SI
Method: DFT, SCAN
State: PBEsol geometry

a b c (Å): 5.061 5.091 5.091
angles (deg): 90.00 90.00 90.00
Fractional positions:
1 In 0.500 0.500 0.500
2 P 0.000 0.500 0.000
3 P 0.000 0.000 0.500
4 I 0.000 0.000 0.000
5 S 0.500 0.000 0.000

- Total magnetic moment: 0.00 μB per atom
- Final energy: -18.910 eV/atom
- E_form (uncorrected): 1.201 eV/atom
- Calculated density: 4.250 Mg/m³
- SG: P4/mmm, No. 123


Material: LiIn7
Method: DFT, SCAN
State: PBEsol geometry

a b c (Å): 6.509 6.509 6.509
angles (deg): 60.00 60.00 60.00
Fractional positions:
1 In 0.500 0.000 0.500
2 In 0.500 0.000 0.000
3 In 0.000 0.500 0.000
4 In 0.000 0.500 0.500
5 Li 0.000 0.000 0.000
6 In 0.000 0.000 0.500
7 In 0.500 0.500 0.000
8 In 0.500 0.500 0.500

- Total magnetic moment: 0.00 μB per atom
- Final energy: -29.556 eV/atom
- Calculated density: 6.902 Mg/m³
- Energy of formation: -0.044 eV per atom
- SG: Fm-3m, No. 225


Material: TiN2F2
Method: DFT, SCAN
State: PBEsol geometry

a b c (Å): 3.810 3.969 3.969
angles (deg): 90.00 90.00 90.00
Fractional positions:
1 F 0.500 0.500 0.500
2 F 0.500 0.000 0.000
3 Ti 0.000 0.000 0.000
4 N 0.000 0.500 0.000
5 N 0.000 0.000 0.500

- Total magnetic moment: 0.80 μB per atom
- Final energy: -8.755 eV/atom
- E_form (uncorrected): -0.417 eV/atom
- Calculated density: 3.150 Mg/m³
- SG: P4/mmm, No. 123


Material: Co6CuRh
Method: DFT, SCAN
State: PBEsol geometry

a b c (Å): 6.113 6.113 9.980
angles (deg): 90.00 90.00 109.62
Fractional positions:
1 Co 0.000 0.000 0.000
2 Cu 0.000 0.000 0.747
3 Rh 0.500 0.500 0.253
4 Co 0.120 0.373 0.623
5 Co 0.880 0.627 0.377
6 Co 0.629 0.877 0.873
7 Co 0.752 0.248 0.253
8 Cu 0.000 0.000 0.253
9 Cu 0.748 0.252 0.500
10 Rh 0.500 0.500 0.747
11 Co 0.373 0.120 0.377
12 Cu 0.252 0.748 0.500
13 Co 0.123 0.371 0.127
14 Co 0.000 0.000 0.500
15 Co 0.371 0.123 0.127
16 Co 0.880 0.627 0.623
17 Co 0.877 0.629 0.873
18 Co 0.627 0.880 0.623
19 Co 0.248 0.752 0.747
20 Co 0.500 0.500 0.500
21 Co 0.248 0.752 0.253
22 Co 0.500 0.500 0.000
23 Co 0.877 0.629 0.127
24 Co 0.123 0.371 0.873
25 Co 0.627 0.880 0.377
26 Rh 0.748 0.252 0.000
27 Co 0.373 0.120 0.623
28 Rh 0.252 0.748 0.000
29 Co 0.120 0.373 0.377
30 Co 0.371 0.123 0.873
31 Co 0.629 0.877 0.127
32 Co 0.752 0.248 0.747

- Total magnetic moment: 1.52 μB per atom
- Final energy: -19.043 eV/atom
- Calculated density: 9.835 Mg/m³
- Energy of formation: 0.056 eV per atom
- SG: Cmmm, No. 65


Material: SrPb2Au2
Method: DFT, SCAN
State: PBEsol geometry

a b c (Å): 4.582 4.582 7.115
angles (deg): 108.78 108.78 90.00
Fractional positions:
1 Pb 0.250 0.750 0.500
2 Sr 0.000 0.000 0.000
3 Pb 0.750 0.250 0.500
4 Au 0.604 0.604 0.208
5 Au 0.396 0.396 0.792

- Total magnetic moment: 0.00 μB per atom
- Final energy: -62.940 eV/atom
- Calculated density: 11.188 Mg/m³
- Energy of formation: -0.510 eV per atom
- SG: I4/mmm, No. 139


Material: MgZr2In
Method: DFT, SCAN
State: PBEsol geometry

a b c (Å): 4.366 4.366 4.434
angles (deg): 90.00 90.00 90.00
Fractional positions:
1 In 0.500 0.500 0.500
2 Zr 0.500 0.000 0.000
3 Zr 0.000 0.500 0.000
4 Mg 0.000 0.000 0.500

- Total magnetic moment: 0.00 μB per atom
- Final energy: -25.228 eV/atom
- Calculated density: 6.316 Mg/m³
- Energy of formation: -0.289 eV per atom
- SG: P4/mmm, No. 123


Material: UWC2
Method: DFT, SCAN
State: PBEsol geometry

a b c (Å): 3.184 5.587 10.991
angles (deg): 90.00 90.00 90.00
Fractional positions:
1 W 0.750 0.079 0.398
2 U 0.250 0.080 0.142
3 C 0.750 0.836 0.245
4 C 0.250 0.751 0.007
5 C 0.250 0.664 0.745
6 U 0.250 0.580 0.358
7 C 0.750 0.336 0.255
8 W 0.750 0.579 0.102
9 U 0.750 0.920 0.858
10 U 0.750 0.420 0.642
11 C 0.250 0.251 0.493
12 C 0.750 0.749 0.507
13 W 0.250 0.421 0.898
14 C 0.250 0.164 0.755
15 C 0.750 0.249 0.993
16 W 0.250 0.921 0.602

- Total magnetic moment: 0.00 μB per atom
- Final energy: -48.581 eV/atom
- Calculated density: 15.145 Mg/m³
- Energy of formation: -0.227 eV per atom
- SG: Pnma, No. 62


Material: Sr2TlAs2
Method: DFT, SCAN
State: PBEsol geometry

a b c (Å): 4.354 7.937 7.937
angles (deg): 90.00 90.00 90.00
Fractional positions:
1 Sr 0.500 0.179 0.679
2 Sr 0.500 0.679 0.821
3 As 0.000 0.612 0.112
4 As 0.000 0.888 0.612
5 Sr 0.500 0.821 0.321
6 As 0.000 0.388 0.888
7 Sr 0.500 0.321 0.179
8 Tl 0.000 0.500 0.500
9 As 0.000 0.112 0.388
10 Tl 0.000 0.000 0.000

- Total magnetic moment: 0.00 μB per atom
- Final energy: -32.410 eV/atom
- Calculated density: 6.410 Mg/m³
- Energy of formation: -0.952 eV per atom
- SG: P4/mbm, No. 127


Material: Ca2BP
Method: DFT, SCAN
State: PBEsol geometry

a b c (Å): 6.079 6.079 6.079
angles (deg): 105.88 105.88 116.91
Fractional positions:
1 P 0.000 0.000 0.000
2 P 0.250 0.750 0.500
3 Ca 0.861 0.875 0.486
4 Ca 0.625 0.139 0.014
5 B 0.500 0.500 0.000
6 Ca 0.389 0.375 0.514
7 Ca 0.125 0.611 0.986
8 B 0.750 0.250 0.500

- Total magnetic moment: 0.00 μB per atom
- Final energy: -9.076 eV/atom
- Calculated density: 2.372 Mg/m³
- Energy of formation: 0.213 eV per atom
- ΔE to the lowest computed polymorph: 269.7 meV per atom
- SG: I-42d, No. 122


Material: RbAgH2
Method: DFT, SCAN
State: PBEsol geometry

a b c (Å): 5.691 5.691 5.691
angles (deg): 91.65 119.05 119.05
Fractional positions:
1 H 0.838 0.963 0.625
2 Ag 0.500 0.750 0.250
3 Rb 0.000 0.500 0.500
4 H 0.662 0.875 0.037
5 Ag 0.000 0.000 0.000
6 Rb 0.500 0.250 0.750
7 H 0.162 0.787 0.125
8 H 0.338 0.375 0.213

- Total magnetic moment: 0.00 μB per atom
- Final energy: -14.880 eV/atom
- Calculated density: 4.911 Mg/m³
- ΔE to the lowest computed polymorph: 0.0 meV per atom
- SG: I-42d, No. 122


Material: LiDySn
Method: DFT, SCAN
State: PBEsol geometry

a b c (Å): 7.200 9.254 9.254
angles (deg): 120.00 90.00 90.00
Fractional positions:
1 Dy 0.506 0.489 0.511
2 Dy 0.506 0.489 0.979
3 Sn 0.239 0.333 0.667
4 Li 0.715 0.334 0.167
5 Sn 0.769 0.167 0.833
6 Li 0.318 0.667 0.333
7 Dy 0.002 0.000 0.000
8 Li 0.215 0.167 0.833
9 Li 0.715 0.833 0.167
10 Sn 0.269 0.333 0.167
11 Dy 0.006 0.511 0.021
12 Li 0.215 0.666 0.833
13 Sn 0.769 0.167 0.333
14 Sn 0.769 0.667 0.833
15 Dy 0.502 0.000 0.000
16 Dy 0.006 0.511 0.489
17 Li 0.818 0.333 0.667
18 Li 0.215 0.167 0.334
19 Dy 0.506 0.021 0.511
20 Li 0.715 0.833 0.666
21 Dy 0.006 0.979 0.489
22 Sn 0.269 0.833 0.667
23 Sn 0.269 0.833 0.167
24 Sn 0.739 0.667 0.333

- Total magnetic moment: 0.00 μB per atom
- Final energy: -29.427 eV/atom
- Calculated density: 7.169 Mg/m³
- Energy of formation: -0.725 eV per atom
- SG: P6_3mc, No. 186


Material: KMo4Cl
Method: DFT, SCAN
State: PBEsol geometry

a b c (Å): 5.431 5.431 5.431
angles (deg): 60.00 60.00 60.00
Fractional positions:
1 Cl 0.750 0.750 0.750
2 Mo 0.382 0.854 0.382
3 Mo 0.382 0.382 0.854
4 Mo 0.382 0.382 0.382
5 K 0.000 0.000 0.000
6 Mo 0.854 0.382 0.382

- Total magnetic moment: 0.00 μB per atom
- Final energy: -24.593 eV/atom
- E_form (uncorrected): 1.382 eV/atom
- Calculated density: 6.720 Mg/m³
- SG: F-43m, No. 216


Material: Y2Co2Ag
Method: DFT, SCAN
State: PBEsol geometry

a b c (Å): 3.824 6.876 6.876
angles (deg): 90.00 90.00 90.00
Fractional positions:
1 Ag 0.000 0.000 0.000
2 Y 0.500 0.320 0.180
3 Y 0.500 0.680 0.820
4 Co 0.000 0.115 0.385
5 Co 0.000 0.385 0.885
6 Co 0.000 0.615 0.115
7 Y 0.500 0.820 0.320
8 Co 0.000 0.885 0.615
9 Ag 0.000 0.500 0.500
10 Y 0.500 0.180 0.680

- Total magnetic moment: 0.36 μB per atom
- Final energy: -24.435 eV/atom
- Calculated density: 7.414 Mg/m³
- Energy of formation: -0.103 eV per atom
- SG: P4/mbm, No. 127


Material: Ca2NiIr
Method: DFT, SCAN
State: PBEsol geometry

a b c (Å): 4.205 4.303 5.360
angles (deg): 113.66 90.00 90.00
Fractional positions:
1 Ca 0.500 0.268 0.537
2 Ca 0.000 0.979 0.959
3 Ni 0.500 0.577 0.154
4 Ir 0.000 0.672 0.345

- Total magnetic moment: 0.07 μB per atom
- Final energy: -26.945 eV/atom
- Calculated density: 6.189 Mg/m³
- Energy of formation: -0.295 eV per atom
- SG: Amm2, No. 38


Material: YMg4
Method: DFT, SCAN
State: PBEsol geometry

a b c (Å): 4.924 5.528 5.528
angles (deg): 78.56 63.56 63.56
Fractional positions:
1 Mg 0.573 0.228 0.626
2 Mg 0.427 0.772 0.374
3 Mg 0.199 0.374 0.228
4 Y 0.000 0.000 0.000
5 Mg 0.801 0.626 0.772

- Total magnetic moment: 0.07 μB per atom
- Final energy: -9.574 eV/atom
- Calculated density: 2.562 Mg/m³
- Energy of formation: -0.027 eV per atom
- SG: I4/m, No. 87